i:
Here is crystalline ZnPbCl at its relaxed geometry from the Alexandria database. Energies are from PBEsol.

a = 3.4048 Å, b = 6.0502 Å, c = 14.2430 Å
α = 90.00°, β = 90.00°, γ = 90.00°
Atoms (fractional coordinates):
Zn 0.0000 0.0000 0.0000
Zn 0.0000 0.5000 0.5000
Zn 0.5000 0.0000 0.5000
Zn 0.5000 0.5000 0.0000
Pb 0.0000 0.0000 0.6653
Pb 0.0000 0.5000 0.1653
Pb 0.5000 0.0000 0.1653
Pb 0.5000 0.5000 0.6653
Cl 0.0000 0.0000 0.3855
Cl 0.0000 0.5000 0.8855
Cl 0.5000 0.0000 0.8855
Cl 0.5000 0.5000 0.3855

Output
Space-group type: No. 42
Total magnetization in μB/f.u.: 0.00
Crystal system: orthorhombic

ii:
Here is crystalline ZnPbCl at its relaxed geometry from the Alexandria database. Energies are from PBEsol.

a = 6.9816 Å, b = 6.9816 Å, c = 6.9816 Å
α = 90.00°, β = 90.00°, γ = 90.00°
Atoms (fractional coordinates):
Zn 0.0000 0.0000 0.0000
Zn 0.0000 0.5000 0.5000
Zn 0.5000 0.0000 0.5000
Zn 0.5000 0.5000 0.0000
Pb 0.2500 0.2500 0.2500
Pb 0.2500 0.7500 0.7500
Pb 0.7500 0.2500 0.7500
Pb 0.7500 0.7500 0.2500
Cl 0.0000 0.0000 0.5000
Cl 0.0000 0.5000 0.0000
Cl 0.5000 0.0000 0.0000
Cl 0.5000 0.5000 0.5000

Output
Space-group type: No. 216
Total magnetization in μB/f.u.: 0.00
Crystal system: cubic

Tell me which of them is the most stable. Sure, it is i.